# SmHfZnCu | Alexandria | PBE | relaxed
# DFT formation energy, meV/atom: -67
# Total magnetization, μB per cell: 3.96
# Total DFT energy (no corrections), eV/atom: -5.08
data_SmHfZnCu
_cell_length_a 6.867
_cell_length_b 6.867
_cell_length_c 6.867
_cell_angle_alpha 90.00
_cell_angle_beta 90.00
_cell_angle_gamma 90.00
_symmetry_space_group_name_H-M 'F -4 3 m'
_symmetry_Int_Tables_number 216
_symmetry_space_group_name_Hall 'F -4 2 3'
loop_
_atom_site_label
_atom_site_type_symbol
_atom_site_fract_x
_atom_site_fract_y
_atom_site_fract_z
Sm1 Sm 0.000 0.000 0.000
Hf1 Hf 0.000 0.000 0.500
Zn1 Zn 0.250 0.250 0.750
Cu1 Cu 0.250 0.250 0.250



# Hf3CuSn | Alexandria | PBE | relaxed
# DFT formation energy, meV/atom: 226
# Total magnetization, μB per cell: 0.00
# Energy above the lowest structure with this stoichiometry, eV/f.u.: 0.84
# Total DFT energy (no corrections), eV/atom: -7.37
data_Hf3CuSn
_cell_length_a 4.854
_cell_length_b 4.854
_cell_length_c 4.854
_cell_angle_alpha 90.00
_cell_angle_beta 90.00
_cell_angle_gamma 90.00
_symmetry_space_group_name_H-M 'P m -3 m'
_symmetry_Int_Tables_number 221
_symmetry_space_group_name_Hall '-P 4 2 3'
loop_
_atom_site_label
_atom_site_type_symbol
_atom_site_fract_x
_atom_site_fract_y
_atom_site_fract_z
Hf1 Hf 0.000 0.000 0.500
Cu1 Cu 0.000 0.000 0.000
Sn1 Sn 0.500 0.500 0.500



# HfCuSn3 | Alexandria | PBE | relaxed
# DFT formation energy, meV/atom: 521
# Total magnetization, μB per cell: 0.00
# Energy above the lowest structure with this stoichiometry, eV/f.u.: 0.00
# Total DFT energy (no corrections), eV/atom: -4.69
data_HfCuSn3
_cell_length_a 5.015
_cell_length_b 5.015
_cell_length_c 5.015
_cell_angle_alpha 90.00
_cell_angle_beta 90.00
_cell_angle_gamma 90.00
_symmetry_space_group_name_H-M 'P m -3 m'
_symmetry_Int_Tables_number 221
_symmetry_space_group_name_Hall '-P 4 2 3'
loop_
_atom_site_label
_atom_site_type_symbol
_atom_site_fract_x
_atom_site_fract_y
_atom_site_fract_z
Hf1 Hf 0.000 0.000 0.000
Cu1 Cu 0.500 0.500 0.500
Sn1 Sn 0.000 0.500 0.500



# Hf2CuSn | Alexandria | PBE | relaxed
# DFT formation energy, meV/atom: 94
# Total magnetization, μB per cell: 0.00
# Total DFT energy (no corrections), eV/atom: -6.91
data_Hf2CuSn
_cell_length_a 7.548
_cell_length_b 7.548
_cell_length_c 5.846
_cell_angle_alpha 90.00
_cell_angle_beta 90.00
_cell_angle_gamma 90.00
_symmetry_space_group_name_H-M 'I -4 2 d'
_symmetry_Int_Tables_number 122
_symmetry_space_group_name_Hall 'I -4 2bw'
loop_
_atom_site_label
_atom_site_type_symbol
_atom_site_fract_x
_atom_site_fract_y
_atom_site_fract_z
Hf1 Hf 0.218 0.250 0.125
Cu1 Cu 0.000 0.000 0.000
Sn1 Sn 0.000 0.000 0.500



# HfCu3Sn | Alexandria | PBE | relaxed
# DFT formation energy, meV/atom: 862
# Total magnetization, μB per cell: 0.00
# Energy above the lowest structure with this stoichiometry, eV/f.u.: 0.00
# Total DFT energy (no corrections), eV/atom: -4.39
data_HfCu3Sn
_cell_length_a 4.657
_cell_length_b 4.657
_cell_length_c 4.657
_cell_angle_alpha 90.00
_cell_angle_beta 90.00
_cell_angle_gamma 90.00
_symmetry_space_group_name_H-M 'P m -3 m'
_symmetry_Int_Tables_number 221
_symmetry_space_group_name_Hall '-P 4 2 3'
loop_
_atom_site_label
_atom_site_type_symbol
_atom_site_fract_x
_atom_site_fract_y
_atom_site_fract_z
Hf1 Hf 0.000 0.000 0.000
Cu1 Cu 0.000 0.500 0.500
Sn1 Sn 0.500 0.500 0.500



# Hf2CuSn4 | Alexandria | PBE | relaxed
# DFT formation energy, meV/atom: -30
# Total magnetization, μB per cell: 0.00
# Total DFT energy (no corrections), eV/atom: -5.75
data_Hf2CuSn4
_cell_length_a 16.499
_cell_length_b 3.468
_cell_length_c 5.962
_cell_angle_alpha 90.00
_cell_angle_beta 110.65
_cell_angle_gamma 90.00
_symmetry_space_group_name_H-M 'C 1 2/m 1'
_symmetry_Int_Tables_number 12
_symmetry_space_group_name_Hall '-C 2y'
loop_
_atom_site_label
_atom_site_type_symbol
_atom_site_fract_x
_atom_site_fract_y
_atom_site_fract_z
Hf1 Hf 0.250 0.000 0.231
Cu1 Cu 0.000 0.500 0.500
Sn1 Sn 0.096 0.500 0.954
Sn2 Sn 0.107 0.000 0.425